Material: BaSrHg4
Method: DFT, GGA-PBE
State: optimized geometry

VASP energy in eV/atom: -1.2591
Energy relative to the elements in eV/atom: -0.46
Spin magnetization in Bohr magnetons per cell: 0.0
Mass density in g cm⁻³: 9.163
Space-group type: No. 12

```
data_BaSrHg4
_space_group_name_H-M_alt 'P 1'
_space_group_IT_number 1
_cell_length_a 4.201
_cell_length_b 4.201
_cell_length_c 10.550
_cell_angle_alpha 90.16
_cell_angle_beta 90.16
_cell_angle_gamma 90.00
loop_
_space_group_symop_operation_xyz
'x,y,z'
loop_
_atom_site_label
_atom_site_fract_x
_atom_site_fract_y
_atom_site_fract_z
Ba1 0.000 0.000 0.000
Sr1 0.500 0.500 0.500
Hg1 0.001 0.001 0.663
Hg2 0.498 0.498 0.818
Hg3 0.502 0.502 0.182
Hg4 0.999 0.999 0.337
```

Material: TlCu2Pt
Method: DFT, GGA-PBE
State: optimized geometry

VASP energy in eV/atom: -4.0927
Energy relative to the elements in eV/atom: 0.06
Spin magnetization in Bohr magnetons per cell: 0.0
Mass density in g cm⁻³: 13.880
Space-group type: No. 44

```
data_TlCu2Pt
_space_group_name_H-M_alt 'P 1'
_space_group_IT_number 1
_cell_length_a 4.992
_cell_length_b 4.992
_cell_length_c 4.992
_cell_angle_alpha 135.77
_cell_angle_beta 132.43
_cell_angle_gamma 66.97
loop_
_space_group_symop_operation_xyz
'x,y,z'
loop_
_atom_site_label
_atom_site_fract_x
_atom_site_fract_y
_atom_site_fract_z
Tl1 0.000 0.000 0.000
Cu1 0.254 0.754 0.500
Cu2 0.489 0.489 0.000
Pt1 0.743 0.243 0.500
```

Material: BeHCl2
Method: DFT, GGA-PBE
State: optimized geometry

VASP energy in eV/atom: -2.9880
Spin magnetization in Bohr magnetons per cell: 1.0
Mass density in g cm⁻³: 1.457
Space-group type: No. 166

```
data_BeHCl2
_space_group_name_H-M_alt 'P 1'
_space_group_IT_number 1
_cell_length_a 10.143
_cell_length_b 10.143
_cell_length_c 10.143
_cell_angle_alpha 18.55
_cell_angle_beta 18.55
_cell_angle_gamma 18.55
loop_
_space_group_symop_operation_xyz
'x,y,z'
loop_
_atom_site_label
_atom_site_fract_x
_atom_site_fract_y
_atom_site_fract_z
Be1 0.000 0.000 0.000
H1 0.500 0.500 0.500
Cl1 0.375 0.375 0.375
Cl2 0.625 0.625 0.625
```

Material: Cr2B6Mo
Method: DFT, GGA-PBE
State: optimized geometry

VASP energy in eV/atom: -8.1162
Energy relative to the elements in eV/atom: -0.32
Spin magnetization in Bohr magnetons per cell: 2.7
Mass density in g cm⁻³: 6.015
Space-group type: No. 191

```
data_Cr2B6Mo
_space_group_name_H-M_alt 'P 1'
_space_group_IT_number 1
_cell_length_a 5.215
_cell_length_b 5.215
_cell_length_c 3.104
_cell_angle_alpha 90.00
_cell_angle_beta 90.00
_cell_angle_gamma 120.00
loop_
_space_group_symop_operation_xyz
'x,y,z'
loop_
_atom_site_label
_atom_site_fract_x
_atom_site_fract_y
_atom_site_fract_z
Cr1 0.333 0.667 0.000
Cr2 0.667 0.333 0.000
B1 0.000 0.338 0.500
B2 0.000 0.662 0.500
B3 0.338 0.000 0.500
B4 0.338 0.338 0.500
B5 0.662 0.000 0.500
B6 0.662 0.662 0.500
Mo1 0.000 0.000 0.000
```

Material: LuUC
Method: DFT, GGA-PBE
State: optimized geometry

VASP energy in eV/atom: -7.8977
Energy relative to the elements in eV/atom: 0.45
Spin magnetization in Bohr magnetons per cell: 3.0
Mass density in g cm⁻³: 10.475
Space-group type: No. 107

```
data_LuUC
_space_group_name_H-M_alt 'P 1'
_space_group_IT_number 1
_cell_length_a 6.512
_cell_length_b 6.512
_cell_length_c 6.512
_cell_angle_alpha 150.36
_cell_angle_beta 150.36
_cell_angle_gamma 42.41
loop_
_space_group_symop_operation_xyz
'x,y,z'
loop_
_atom_site_label
_atom_site_fract_x
_atom_site_fract_y
_atom_site_fract_z
Lu1 0.000 0.000 0.000
U1 0.292 0.292 0.000
C1 0.464 0.464 0.000
```

Material: InRe2Ni
Method: DFT, GGA-PBE
State: optimized geometry

VASP energy in eV/atom: -7.8614
Energy relative to the elements in eV/atom: 0.49
Spin magnetization in Bohr magnetons per cell: 0.0
Mass density in g cm⁻³: 14.673
Space-group type: No. 166

```
data_InRe2Ni
_space_group_name_H-M_alt 'P 1'
_space_group_IT_number 1
_cell_length_a 9.122
_cell_length_b 9.122
_cell_length_c 9.122
_cell_angle_alpha 17.78
_cell_angle_beta 17.78
_cell_angle_gamma 17.78
loop_
_space_group_symop_operation_xyz
'x,y,z'
loop_
_atom_site_label
_atom_site_fract_x
_atom_site_fract_y
_atom_site_fract_z
In1 0.000 0.000 0.000
Re1 0.242 0.242 0.242
Re2 0.758 0.758 0.758
Ni1 0.500 0.500 0.500
```

Material: AlBiSe3
Method: DFT, GGA-PBE
State: optimized geometry

VASP energy in eV/atom: -4.0866
Spin magnetization in Bohr magnetons per cell: 0.0
Energy relative to the elements, uncorrected in meV/atom: -471
Mass density in g cm⁻³: 5.177
Space-group type: No. 62

```
data_AlBiSe3
_space_group_name_H-M_alt 'P 1'
_space_group_IT_number 1
_cell_length_a 8.105
_cell_length_b 11.158
_cell_length_c 6.708
_cell_angle_alpha 90.00
_cell_angle_beta 90.00
_cell_angle_gamma 90.00
loop_
_space_group_symop_operation_xyz
'x,y,z'
loop_
_atom_site_label
_atom_site_fract_x
_atom_site_fract_y
_atom_site_fract_z
Al1 0.172 0.250 0.041
Al2 0.328 0.750 0.541
Al3 0.672 0.250 0.459
Al4 0.828 0.750 0.959
Bi1 0.000 0.000 0.500
Bi2 0.000 0.500 0.500
Bi3 0.500 0.000 0.000
Bi4 0.500 0.500 0.000
Se1 0.021 0.750 0.667
Se2 0.171 0.065 0.874
Se3 0.171 0.435 0.874
Se4 0.329 0.565 0.374
Se5 0.329 0.935 0.374
Se6 0.479 0.250 0.167
Se7 0.521 0.750 0.833
Se8 0.671 0.065 0.626
Se9 0.671 0.435 0.626
Se10 0.829 0.565 0.126
Se11 0.829 0.935 0.126
Se12 0.979 0.250 0.333
```

Material: CaYAl
Method: DFT, GGA-PBE
State: optimized geometry

VASP energy in eV/atom: -3.3700
Energy relative to the elements in eV/atom: 0.70
Spin magnetization in Bohr magnetons per cell: 1.0
Mass density in g cm⁻³: 1.945
Space-group type: No. 194

```
data_CaYAl
_space_group_name_H-M_alt 'P 1'
_space_group_IT_number 1
_cell_length_a 5.175
_cell_length_b 5.175
_cell_length_c 11.484
_cell_angle_alpha 90.00
_cell_angle_beta 90.00
_cell_angle_gamma 120.00
loop_
_space_group_symop_operation_xyz
'x,y,z'
loop_
_atom_site_label
_atom_site_fract_x
_atom_site_fract_y
_atom_site_fract_z
Ca1 0.333 0.667 0.250
Ca2 0.667 0.333 0.750
Y1 0.000 0.000 0.000
Y2 0.000 0.000 0.500
Al1 0.000 0.000 0.250
Al2 0.000 0.000 0.750
```

Material: USi2
Method: DFT, GGA-PBE
State: optimized geometry

VASP energy in eV/atom: -7.6104
Spin magnetization in Bohr magnetons per cell: 4.4
Energy relative to the elements, uncorrected in meV/atom: -232
Mass density in g cm⁻³: 9.906
Space-group type: No. 227

```
data_USi2
_space_group_name_H-M_alt 'P 1'
_space_group_IT_number 1
_cell_length_a 5.186
_cell_length_b 5.186
_cell_length_c 5.186
_cell_angle_alpha 60.00
_cell_angle_beta 60.00
_cell_angle_gamma 60.00
loop_
_space_group_symop_operation_xyz
'x,y,z'
loop_
_atom_site_label
_atom_site_fract_x
_atom_site_fract_y
_atom_site_fract_z
U1 0.125 0.125 0.125
U2 0.875 0.875 0.875
Si1 0.000 0.500 0.500
Si2 0.500 0.000 0.500
Si3 0.500 0.500 0.000
Si4 0.500 0.500 0.500
```

Material: DyHo7Tm3
Method: DFT, GGA-PBE
State: optimized geometry

VASP energy in eV/atom: -4.2740
Energy relative to the elements in eV/atom: 0.28
Spin magnetization in Bohr magnetons per cell: 0.4
Mass density in g cm⁻³: 8.683
Space-group type: No. 12

```
data_DyHo7Tm3
_space_group_name_H-M_alt 'P 1'
_space_group_IT_number 1
_cell_length_a 8.315
_cell_length_b 8.315
_cell_length_c 5.716
_cell_angle_alpha 110.03
_cell_angle_beta 110.03
_cell_angle_gamma 83.29
loop_
_space_group_symop_operation_xyz
'x,y,z'
loop_
_atom_site_label
_atom_site_fract_x
_atom_site_fract_y
_atom_site_fract_z
Dy1 0.000 0.000 0.000
Ho1 0.000 0.000 0.500
Ho2 0.100 0.502 0.801
Ho3 0.293 0.293 0.294
Ho4 0.498 0.900 0.199
Ho5 0.502 0.100 0.801
Ho6 0.707 0.707 0.706
Ho7 0.900 0.498 0.199
Tm1 0.294 0.706 0.500
Tm2 0.500 0.500 0.000
Tm3 0.706 0.294 0.500
```

Material: Cs2KHgPd
Method: DFT, GGA-PBE
State: optimized geometry

VASP energy in eV/atom: -1.6879
Energy relative to the elements in eV/atom: -0.03
Spin magnetization in Bohr magnetons per cell: 0.0
Mass density in g cm⁻³: 3.896
Space-group type: No. 123

```
data_Cs2KHgPd
_space_group_name_H-M_alt 'P 1'
_space_group_IT_number 1
_cell_length_a 6.928
_cell_length_b 6.928
_cell_length_c 5.434
_cell_angle_alpha 90.00
_cell_angle_beta 90.00
_cell_angle_gamma 90.00
loop_
_space_group_symop_operation_xyz
'x,y,z'
loop_
_atom_site_label
_atom_site_fract_x
_atom_site_fract_y
_atom_site_fract_z
Cs1 0.000 0.500 0.000
Cs2 0.500 0.000 0.000
K1 0.000 0.000 0.500
Hg1 0.500 0.500 0.500
Pd1 0.500 0.500 0.000
```

Material: LaNb4Te8
Method: DFT, GGA-PBE
State: optimized geometry

VASP energy in eV/atom: -5.9406
Spin magnetization in Bohr magnetons per cell: 0.0
Energy relative to the elements, uncorrected in meV/atom: -530
Mass density in g cm⁻³: 6.443
Space-group type: No. 12

```
data_LaNb4Te8
_space_group_name_H-M_alt 'P 1'
_space_group_IT_number 1
_cell_length_a 7.523
_cell_length_b 7.523
_cell_length_c 9.185
_cell_angle_alpha 114.45
_cell_angle_beta 114.45
_cell_angle_gamma 59.77
loop_
_space_group_symop_operation_xyz
'x,y,z'
loop_
_atom_site_label
_atom_site_fract_x
_atom_site_fract_y
_atom_site_fract_z
La1 0.000 0.000 0.000
Nb1 0.000 0.000 0.500
Nb2 0.000 0.500 0.500
Nb3 0.500 0.000 0.500
Nb4 0.500 0.500 0.500
Te1 0.243 0.243 0.726
Te2 0.251 0.738 0.725
Te3 0.262 0.749 0.275
Te4 0.263 0.263 0.275
Te5 0.737 0.737 0.725
Te6 0.738 0.251 0.725
Te7 0.749 0.262 0.275
Te8 0.757 0.757 0.274
```

> Which value of VASP energy does entry 5 give?

-7.8977 eV/atom